Record 1
CeDy2Y3Se6 (PBE-GGA, relaxed); formation energy without anion corrections = -1773 meV/atom
1.0
4.085 0.000 0.000
0.000 8.244 0.299
-2.042 -2.371 8.621
Ce Dy Y Se
1 2 3 6
Cartesian
2.042 0.000 0.000
2.042 3.943 5.986
0.000 1.930 2.933
2.042 4.122 0.149
2.042 -0.225 5.839
0.000 6.098 3.081
0.000 5.975 5.954
2.042 4.003 3.075
2.042 -0.102 2.965
0.000 2.125 0.085
2.042 3.748 8.834
0.000 1.870 5.845

***

Record 2
CdH2Br (PBE-GGA, relaxed); energy above the most stable polymorph in this dataset = 198 meV per atom
1.0
3.500 -0.011 0.000
-1.740 4.048 -0.026
-1.657 -1.661 6.900
Cd H Br
1 2 1
Cartesian
1.733 -0.041 1.945
-1.588 1.755 4.876
-1.584 2.351 4.413
-0.013 1.630 0.393

***

Record 3
Na2HfNp2Se6 (PBE-GGA, relaxed); formation energy without anion corrections = -1223 meV/atom
1.0
7.002 0.009 0.071
-3.453 6.091 0.071
-1.255 -2.156 7.035
Na Hf Np Se
2 1 2 6
Cartesian
5.228 1.040 0.071
-1.679 5.059 0.071
-0.627 -1.078 3.517
-0.589 2.982 3.588
2.883 0.961 3.588
1.798 3.091 5.199
-1.729 0.822 5.126
0.496 0.853 1.977
1.569 -1.097 5.126
4.023 3.121 2.051
0.725 5.040 2.051

***

Record 4
Ba5SrPd3 (PBE-GGA, relaxed); DFT formation energy = -41 kJ per mole of atoms
1.0
4.693 0.000 0.000
0.000 7.563 -0.208
0.000 0.284 22.706
Ba Sr Pd
10 2 6
Cartesian
2.346 6.277 16.542
2.346 6.185 1.486
2.346 5.985 8.767
0.000 5.420 20.389
0.000 5.607 12.645
0.000 2.239 9.853
0.000 2.426 2.109
2.346 1.662 21.012
2.346 1.862 13.731
2.346 1.570 5.957
0.000 5.357 5.151
0.000 2.489 17.347
0.000 0.000 0.000
0.000 0.266 15.194
0.000 7.580 7.304
2.346 3.948 18.763
2.346 3.923 11.249
2.346 3.898 3.735

***

Record 5
MgTcPCl2 (PBE-GGA, relaxed); formation energy without anion corrections = -1 meV/atom; energy above the most stable polymorph in this dataset = 0 meV per atom
1.0
-1.885 2.803 -3.584
-1.633 -4.037 -2.299
-3.977 0.289 2.318
P Mg Tc Cl
1 1 1 2
Cartesian
-1.989 0.144 1.159
-3.748 -0.473 -1.782
0.000 0.000 0.000
-0.817 -2.019 -1.150
-0.943 1.402 -1.792

***

Record 6
CsAcAu2 (PBE-GGA, relaxed); DFT formation energy = -54 kJ per mole of atoms
1.0
4.078 0.000 0.000
0.000 4.078 0.000
0.000 0.000 8.664
Cs Ac Au
1 1 2
Cartesian
2.039 2.039 4.332
2.039 2.039 0.000
0.000 0.000 7.125
0.000 0.000 1.539

***

Record 7
TmScPaO6 (PBE-GGA, relaxed); formation energy without anion corrections = -3247 meV/atom
1.0
-1.589 -2.779 -3.426
4.587 -3.108 0.393
-4.462 -1.233 3.070
Tm Sc Pa O
1 1 1 6
Cartesian
0.776 -3.873 -0.427
-0.794 -1.389 -1.713
-1.446 -1.858 2.178
-1.144 -4.972 -0.185
-4.118 -4.270 0.625
-2.603 -2.501 -1.512
-0.425 -2.127 0.254
-1.758 -4.019 2.407
-3.394 -1.597 1.201

***

Record 8
TmAgGe (PBE-GGA, relaxed); DFT formation energy = -61 kJ per mole of atoms
1.0
7.099 0.000 0.000
-3.549 6.148 0.000
0.000 0.000 4.185
Tm Ag Ge
3 3 3
Cartesian
1.480 2.564 2.092
4.138 0.000 2.092
-2.069 3.584 2.092
2.656 4.600 0.000
1.787 0.000 0.000
-0.893 1.547 0.000
3.549 2.049 0.000
0.000 4.099 0.000
0.000 0.000 2.092

***

| no. | VASP energy (eV/atom) |
| --- | --- |
| 1 | -6.3924 |
| 2 | -2.3995 |
| 3 | -6.6210 |
| 4 | -3.4121 |
| 5 | -4.2141 |
| 6 | -3.4373 |
| 7 | -8.8081 |
| 8 | -4.6103 |